Record 1
{
  "formula": "BaAc2Er",
  "functional": "PBE",
  "state": "optimized geometry",
  "lattice": [[0.0000, 4.4445, 4.4445], [4.4445, 0.0000, 4.4445], [4.4445, 4.4445, 0.0000]],
  "species": ["Ba", "Ac", "Ac", "Er"],
  "fractional_positions": [[0.0000, 0.0000, 0.0000], [0.2500, 0.2500, 0.2500], [0.7500, 0.7500, 0.7500], [0.5000, 0.5000, 0.5000]],
  "e_above_lowest_polymorph_ev_per_atom": 0.1383,
  "total_energy_ev_per_fu": -13.816,
  "dos_at_fermi_per_ev_cell": 7.86,
  "ef_ev_per_fu": 0.89
}


Record 2
{
  "formula": "BaAc2Er",
  "functional": "PBE",
  "state": "optimized geometry",
  "lattice": [[5.5690, 0.0000, 0.0000], [0.0000, 5.5690, 0.0000], [0.0000, 0.0000, 5.5520]],
  "species": ["Ba", "Ac", "Ac", "Er"],
  "fractional_positions": [[0.0000, 0.0000, 0.0000], [0.0000, 0.5000, 0.5000], [0.5000, 0.0000, 0.5000], [0.5000, 0.5000, 0.0000]],
  "e_above_lowest_polymorph_ev_per_atom": 0.0846,
  "total_energy_ev_per_fu": -14.031,
  "dos_at_fermi_per_ev_cell": 6.86,
  "ef_ev_per_fu": 0.67
}


Record 3
{
  "formula": "BaAc2Er",
  "functional": "PBE",
  "state": "optimized geometry",
  "lattice": [[4.0033, 0.0000, 0.0000], [0.0000, 4.0033, 0.0000], [0.0000, 0.0000, 11.0021]],
  "species": ["Ba", "Ac", "Ac", "Er"],
  "fractional_positions": [[0.0000, 0.0000, 0.0000], [0.5000, 0.5000, 0.2853], [0.5000, 0.5000, 0.7147], [0.0000, 0.0000, 0.5000]],
  "e_above_lowest_polymorph_ev_per_atom": 0.0000,
  "total_energy_ev_per_fu": -14.370,
  "dos_at_fermi_per_ev_cell": 5.75,
  "ef_ev_per_fu": 0.33
}